{"formula": "YCd2Ag", "functional": "meta-GGA SCAN", "state": "PBEsol geometry", "sg": "I-4m2", "dft_energy_ev_per_cell": -121.473, "delta_e_f_mev_per_atom": -358, "lattice": [[4.895, 0.000, 0.000], [-2.447, 4.247, 0.047], [0.000, 2.776, 4.031]], "species": ["Y", "Cd", "Cd", "Ag"], "frac_coords": [[0.500, 0.000, 0.500], [0.250, 0.500, 0.250], [0.000, 0.000, 0.000], [0.750, 0.500, 0.750]]}

{"formula": "Sc3InAg", "functional": "meta-GGA SCAN", "state": "PBEsol geometry", "sg": "Pm-3m", "dft_energy_ev_per_cell": -104.842, "delta_e_f_mev_per_atom": 525, "lattice": [[5.254, 0.000, 0.000], [0.000, 5.254, 0.000], [0.000, 0.000, 5.254]], "species": ["Sc", "Sc", "Sc", "In", "Ag"], "frac_coords": [[0.000, 0.000, 0.500], [0.000, 0.500, 0.000], [0.500, 0.000, 0.000], [0.000, 0.000, 0.000], [0.500, 0.500, 0.500]]}

{"formula": "Ge2TeBr", "functional": "meta-GGA SCAN", "state": "PBEsol geometry", "raw_formation_energy_mev_per_atom": 191, "sg": "Fm-3m", "dft_energy_ev_per_cell": -94.123, "lattice": [[-4.833, -1.445, 0.101], [-1.345, -4.131, 2.565], [-2.674, 0.432, 4.256]], "species": ["Br", "Te", "Ge", "Ge"], "frac_coords": [[0.000, 0.000, 0.000], [0.500, 0.500, 0.500], [0.250, 0.250, 0.250], [0.750, 0.750, 0.750]]}

{"formula": "La2AgGe2", "functional": "meta-GGA SCAN", "state": "PBEsol geometry", "sg": "P4/mbm", "dft_energy_ev_per_cell": -319.045, "delta_e_f_mev_per_atom": -754, "lattice": [[4.490, 0.000, 0.000], [0.000, 7.325, 0.000], [0.000, 0.000, 7.325]], "species": ["Ge", "Ge", "Ge", "Ge", "La", "La", "La", "La", "Ag", "Ag"], "frac_coords": [[0.000, 0.876, 0.624], [0.000, 0.124, 0.376], [0.000, 0.624, 0.124], [0.000, 0.376, 0.876], [0.500, 0.323, 0.177], [0.500, 0.677, 0.823], [0.500, 0.823, 0.323], [0.500, 0.177, 0.677], [0.000, 0.000, 0.000], [0.000, 0.500, 0.500]]}

{"formula": "Y4Co3", "functional": "meta-GGA SCAN", "state": "PBEsol geometry", "sg": "P-3", "dft_energy_ev_per_cell": -490.697, "delta_e_f_mev_per_atom": -40, "lattice": [[-1.357, -2.065, -3.134], [8.840, -6.667, 0.567], [-9.208, -2.511, 5.640]], "species": ["Co", "Co", "Co", "Co", "Co", "Co", "Co", "Co", "Co", "Y", "Y", "Y", "Y", "Y", "Y", "Y", "Y", "Y", "Y", "Y", "Y"], "frac_coords": [[0.748, 0.440, 0.281], [0.748, 0.841, 0.560], [0.252, 0.560, 0.719], [0.252, 0.159, 0.440], [0.748, 0.719, 0.159], [0.752, 0.667, 0.333], [0.500, 0.000, 0.000], [0.252, 0.281, 0.841], [0.248, 0.333, 0.667], [0.750, 0.027, 0.247], [0.750, 0.220, 0.973], [0.251, 0.620, 0.486], [0.251, 0.866, 0.380], [0.251, 0.514, 0.134], [0.749, 0.134, 0.620], [0.250, 0.973, 0.753], [0.250, 0.780, 0.027], [0.250, 0.247, 0.220], [0.749, 0.380, 0.514], [0.750, 0.753, 0.780], [0.749, 0.486, 0.866]]}

{"formula": "TaNi2W", "functional": "meta-GGA SCAN", "state": "PBEsol geometry", "sg": "Cmmm", "dft_energy_ev_per_cell": -168.815, "delta_e_f_mev_per_atom": -49, "lattice": [[-0.864, 2.527, -0.169], [-1.611, -0.263, 4.294], [4.341, 1.493, 0.142]], "species": ["W", "Ni", "Ni", "Ta"], "frac_coords": [[0.500, 0.500, 0.500], [0.000, 0.500, 0.000], [0.000, 0.000, 0.500], [0.500, 0.000, 0.000]]}

Calculated values (Mg/m³) of mass density for the records, taken in order: 8.4 4.1 6.5 7.3 6.2 15.0.
Calculated values (states/eV/f.u.) of N(E_F) for the records, taken in order: 1.46 5.03 1.13 2.73 4.58 3.02.